[1]
VASP calculation (PBE) on a geometry-optimized La2MnTc structure.

Structure (CIF):
```
data_La2MnTc
_chemical_formula_sum 'La4 Mn2 Tc2'
_cell_length_a 4.432
_cell_length_b 4.432
_cell_length_c 9.285
_cell_angle_alpha 90.00
_cell_angle_beta 90.00
_cell_angle_gamma 90.00
_symmetry_space_group_name_H-M 'I -4 m 2'
_symmetry_Int_Tables_number 119
_symmetry_space_group_name_Hall 'I -4 -2'
loop_
_atom_site_label
_atom_site_fract_x
_atom_site_fract_y
_atom_site_fract_z
_atom_site_occupancy
La1 0.000 0.000 0.000 1
La2 0.000 0.500 0.250 1
Mn1 0.000 0.500 0.750 1
Tc1 0.000 0.000 0.500 1
```

Calculated values
- Calculated formation energy: 0.42 eV per atom
- DOS(E_F): 8.96 states/eV/cell

***

[2]
VASP calculation (PBE) on a geometry-optimized La2MnTc2 structure.

Structure (CIF):
```
data_La2MnTc2
_chemical_formula_sum 'La4 Mn2 Tc4'
_cell_length_a 7.916
_cell_length_b 7.916
_cell_length_c 3.313
_cell_angle_alpha 90.00
_cell_angle_beta 90.00
_cell_angle_gamma 90.00
_symmetry_space_group_name_H-M 'P 4/m b m'
_symmetry_Int_Tables_number 127
_symmetry_space_group_name_Hall '-P 4 2ab'
loop_
_atom_site_label
_atom_site_fract_x
_atom_site_fract_y
_atom_site_fract_z
_atom_site_occupancy
La1 0.165 0.335 0.000 1
Mn1 0.000 0.000 0.000 1
Tc1 0.143 0.643 0.500 1
```

Calculated values
- Calculated formation energy: 1.14 eV per atom
- DOS(E_F): 23.07 states/eV/cell